Entry 1:
10
Lattice="-0.152 0.025 -6.435 1.053 -5.580 0.954 -4.315 1.548 -3.482" Properties=species:S:1:pos:R:3 comment="HfBRh3, optimized geometry, DFT PBE-GGA" spacegroup=C2/m dos_at_fermi_per_ev_atom=0.587 volume_a3_per_cell=141.7 crystal_system=monoclinic energy_ev_per_cell=-84.07 formation_enthalpy_0k_kj_per_mol_atoms=-64.7 de_polymorph_ev_per_fu=0.57 pbc="T T T"
Hf -3.544 -2.599 -3.930
Hf -1.450 0.438 -4.889
B -3.658 0.496 -8.719
B -1.488 -2.632 -6.534
Rh -2.420 -4.346 -5.818
Rh 0.143 -1.335 -0.755
Rh -0.822 -2.374 -4.582
Rh -3.101 -1.477 -6.286
Rh -1.894 -0.683 -2.533
Rh -1.522 -3.395 -2.046

***

Entry 2:
4
Lattice="-0.727 3.500 2.365 -3.892 0.699 1.653 -0.631 -0.361 4.224" Properties=species:S:1:pos:R:3 comment="VCoTcW, optimized geometry, DFT PBE-GGA" spacegroup=F-43m dos_at_fermi_per_ev_atom=0.912 volume_a3_per_cell=55.7 crystal_system=cubic energy_ev_per_cell=-39.55 formation_enthalpy_0k_kj_per_mol_atoms=-0.2 pbc="T T T"
Co -3.937 2.879 6.181
Tc -1.312 0.960 2.060
W 0.000 0.000 0.000
V -2.625 1.919 4.121

***

Entry 3:
10
Lattice="-0.094 -2.144 3.996 5.613 -0.462 -0.115 0.447 4.844 2.352" Properties=species:S:1:pos:R:3 comment="ZnTc3N, optimized geometry, DFT PBE-GGA" spacegroup=P2_1/m dos_at_fermi_per_ev_atom=0.621 volume_a3_per_cell=137.9 crystal_system=monoclinic raw_formation_energy_ev_per_atom=0.244 energy_ev_per_cell=-78.95 de_polymorph_ev_per_fu=1.10 pbc="T T T"
Zn 1.547 1.172 1.811
Zn 4.419 1.067 4.421
Tc 0.400 3.695 3.020
Tc 5.566 -1.456 3.213
Tc 3.139 3.470 2.964
Tc 2.826 -1.231 3.269
Tc 1.655 1.777 4.647
Tc 4.311 0.462 1.586
N 1.500 0.121 3.761
N 4.465 2.117 2.472